Entry from Alexandria: a geometry-optimized UMnVSn structure (PBE).

The calculation puts the volume at 277.5 Å³/cell. The value obtained for the total magnetization is 3.677 μB per formula unit. For the formation energy, the calculation gives 0.142 eV per atom.

It has space group F-43m (No. 216), with a = 6.522 Å, b = 6.522 Å, c = 6.522 Å, α = 90.00°, β = 90.00° and γ = 90.00°. The distinct sites, in fractional coordinates, are U at (0.000, 0.000, 0.000), Mn at (0.250, 0.250, 0.250), V at (0.250, 0.250, 0.750) and Sn at (0.000, 0.000, 0.500).


Entry from Alexandria: a geometry-optimized Rb3Y2MgSe6 structure (PBE).

The calculation puts the volume at 731.2 Å³/cell. The value obtained for the total magnetization is 0.000 μB per formula unit. The calculation puts the formation energy (no corrections) at -139.91 kJ/mol of atoms.

It has space group C2/m (No. 12), with a = 7.243 Å, b = 12.550 Å, c = 8.398 Å, α = 90.00°, β = 106.72° and γ = 90.00°. The distinct sites, in fractional coordinates, are Rb at (0.000, 0.000, 0.000), Rb at (0.000, 0.332, 0.000), Y at (0.000, 0.167, 0.500), Mg at (0.000, 0.500, 0.500), Se at (0.228, 0.336, 0.693) and Se at (0.237, 0.000, 0.694).


Entry from Alexandria: a geometry-optimized RbTa2Ir structure (PBE).

The calculation puts the volume at 506.8 Å³/cell. The value obtained for the total magnetization is 0.699 μB per formula unit. As for the energy relative to the lowest polymorph listed for this composition: 185 meV/atom. For the formation energy, the calculation gives 1.375 eV per atom.

It has space group I4_1/amd (No. 141, origin choice 2), with a = 5.401 Å, b = 5.401 Å, c = 17.372 Å, α = 90.00°, β = 90.00° and γ = 90.00°. The distinct sites, in fractional coordinates, are Rb at (0.000, 0.250, 0.375), Ta at (0.000, 0.000, 0.000) and Ir at (0.000, 0.250, 0.875).


Entry from Alexandria: a geometry-optimized CaTa2Se structure (PBE).

The calculation puts the volume at 85.5 Å³/cell. The value obtained for the total magnetization is 0.000 μB per formula unit. The calculation puts the formation energy (no corrections) at 23.47 kJ/mol of atoms.

It has space group P2/m (No. 10), with a = 3.304 Å, b = 5.573 Å, c = 4.646 Å, α = 90.00°, β = 91.97° and γ = 90.00°. The distinct sites, in fractional coordinates, are Ca at (0.000, 0.000, 0.000), Ta at (0.282, 0.500, 0.761) and Se at (0.500, 0.000, 0.500).


Entry from Alexandria: a geometry-optimized EuErTmAl structure (PBE).

The calculation puts the volume at 434.9 Å³/cell. The value obtained for the total magnetization is 7.223 μB per formula unit. For the formation energy, the calculation gives -0.010 eV per atom.

It has space group F-43m (No. 216), with a = 7.576 Å, b = 7.576 Å, c = 7.576 Å, α = 90.00°, β = 90.00° and γ = 90.00°. The distinct sites, in fractional coordinates, are Eu at (0.000, 0.000, 0.000), Er at (0.250, 0.250, 0.250), Tm at (0.250, 0.250, 0.750) and Al at (0.000, 0.000, 0.500).


Entry from Alexandria: a geometry-optimized Ta2GeP structure (PBE).

The calculation puts the volume at 371.8 Å³/cell. The value obtained for the total magnetization is 0.000 μB per formula unit. As for the energy relative to the lowest polymorph listed for this composition: 745 meV/atom. For the formation energy, the calculation gives 0.543 eV per atom.

It has space group I-42d (No. 122), with a = 5.708 Å, b = 5.708 Å, c = 11.410 Å, α = 90.00°, β = 90.00° and γ = 90.00°. The distinct sites, in fractional coordinates, are Ta at (0.232, 0.250, 0.125), Ge at (0.000, 0.000, 0.500) and P at (0.000, 0.000, 0.000).